Entry 1:
{"formula": "LiReRu2", "functional": "GGA-PBE", "state": "optimized geometry", "lattice": [[4.257, 0.000, 0.000], [2.128, 3.686, 0.000], [2.128, 1.229, 3.475]], "species": ["Li", "Re", "Ru", "Ru"], "fractional_positions": [[0.500, 0.500, 0.500], [0.750, 0.750, 0.750], [0.000, 0.000, 0.000], [0.250, 0.250, 0.250]], "space_group": "F-43m (216)", "vol_a3_per_atom": 13.6, "ef_mev_per_atom": 383, "de_polymorph_ev_per_atom": 0.372}



Entry 2:
{"formula": "BaPmP", "functional": "GGA-PBE", "state": "optimized geometry", "lattice": [[-0.701, -1.425, -3.924], [3.934, 0.965, 1.231], [1.939, -13.906, 4.704]], "species": ["P", "P", "Ba", "Ba", "Pm", "Pm"], "fractional_positions": [[0.611, 0.222, 0.000], [0.278, 0.556, 0.500], [0.611, 0.222, 0.373], [0.611, 0.222, 0.627], [0.278, 0.556, 0.888], [0.278, 0.556, 0.112]], "space_group": "P-6m2 (187)", "vol_a3_per_atom": 38.3, "ef_mev_per_atom": -601, "de_polymorph_ev_per_atom": 0.203}



| no. | VASP energy (eV/cell) |
| --- | --- |
| 1 | -31.382 |
| 2 | -27.772 |